[1]
Compound: Be3Co
Source: Alexandria
Functional: GGA-PBE
Structure: optimized geometry

Geometry as extended XYZ:
```
4
Lattice="2.295 -0.046 0.000 -0.781 2.158 0.000 0.000 0.000 7.224" Properties=species:S:1:pos:R:3 pbc="T T T"
Co 0.757 1.056 1.806
Be 0.000 0.000 0.020
Be 0.000 0.000 3.592
Be 0.757 1.056 5.418
```

Computed properties:
ΔE_f (eV per atom): 0.024
V (Å³/cell): 35.5
SG: Cmmm, No. 65

***

[2]
Compound: CaTeBrN2
Source: Alexandria
Functional: GGA-PBE
Structure: optimized geometry

Geometry as extended XYZ:
```
5
Lattice="-3.028 -0.926 -3.362 -0.162 -4.411 1.361 -5.025 1.458 4.124" Properties=species:S:1:pos:R:3 pbc="T T T"
Te -2.513 0.729 2.062
N -1.514 -0.463 -1.681
N -0.081 -2.205 0.680
Br -4.108 -1.939 1.061
Ca 0.000 0.000 0.000
```

Computed properties:
ΔE to the lowest computed polymorph (eV per atom): 0.000
V (Å³/cell): 142.1
SG: P4/mmm, No. 123

***

[3]
Compound: PmInBi
Source: Alexandria
Functional: GGA-PBE
Structure: optimized geometry

Geometry as extended XYZ:
```
6
Lattice="-1.313 -4.423 1.131 4.533 2.148 3.688 -4.516 2.398 4.135" Properties=species:S:1:pos:R:3 pbc="T T T"
Bi -2.851 -0.431 4.980
Bi 1.554 0.554 3.974
In 0.000 0.000 0.000
In -2.258 1.199 2.067
Pm -0.659 -1.629 2.840
Pm -0.638 1.752 6.113
```

Computed properties:
ΔE_f (eV per atom): -0.550
ΔE to the lowest computed polymorph (eV per atom): 0.000
V (Å³/cell): 179.8
SG: C2/m, No. 12

***

[4]
Compound: TbPu2MnSe5
Source: Alexandria
Functional: GGA-PBE
Structure: optimized geometry

Geometry as extended XYZ:
```
18
Lattice="-2.435 -0.879 -3.094 -3.706 -4.477 6.818 -6.977 9.866 2.687" Properties=species:S:1:pos:R:3 pbc="T T T"
Se -4.486 -0.493 1.040
Se -0.339 0.040 0.255
Se -6.307 3.186 1.428
Se -2.989 1.961 -0.835
Se -10.096 2.504 7.233
Se -9.070 6.154 2.758
Se -5.548 0.477 4.230
Se -9.603 -0.020 4.933
Se -3.564 -3.267 3.733
Se -7.805 3.834 5.052
Pu -3.505 2.292 2.107
Pu -6.301 -2.245 2.966
Pu -6.040 5.656 3.145
Pu -10.925 4.075 4.809
Mn -8.187 8.114 1.507
Mn -7.324 -0.218 5.826
Tb -7.976 1.702 3.163
Tb -2.046 -1.570 2.056
```

Computed properties:
DFT total energy (eV per atom): -7.98
V (Å³/cell): 435.9
SG: Cmc2_1, No. 36

***

> Look up the V of the fourth one.

435.9 Å³/cell